1.
Re4Sb3: relaxed, PBE.

Geometry as POSCAR:
```
Re4Sb3
1.0
2.7874 4.9661 -0.7775
-5.1805 -0.7882 -2.3617
-2.0451 1.7583 3.8990
Sb Re
3 4
Cartesian
1.3937 2.4831 -0.3888
-1.1965 2.0889 -1.5696
-2.5902 -0.3941 -1.1809
-0.5183 0.4456 0.9881
-1.5268 1.3127 2.9109
-0.8911 3.9271 0.6439
-3.5470 2.0090 0.1158
```

Output
Space-group type: No. 191
Energy: -0.266 Ha/atom


2.
NaCo: relaxed, PBE.

Geometry as POSCAR:
```
NaCo
1.0
-8.1376 -1.6683 2.4975
0.9103 -8.2436 -2.5405
2.8621 -2.1212 7.9088
Na Co
8 8
Cartesian
-0.9219 -2.5413 1.6612
-3.1044 -8.5578 5.5941
-3.9691 -4.7302 7.6721
-5.0965 -8.2666 1.6363
1.2572 -8.5282 4.7620
-4.6978 -4.1799 3.3266
-0.8762 -6.9572 1.1987
-0.0518 -4.3713 5.6122
-3.1088 -6.7318 3.2029
-1.7818 -4.9118 3.2107
-1.0891 -6.8150 4.1965
-2.7505 -5.6076 5.1215
0.3424 -7.8347 -1.3519
-3.9643 -10.9284 7.1436
1.9359 -2.8365 7.1787
-7.0441 -2.4667 2.7611
```

Output
Space-group type: No. 217
Formation enthalpy at 0 K: 191 kJ/mol of formula units


3.
CsRb2TlPb: relaxed, PBE.

Geometry as POSCAR:
```
CsRb2TlPb
1.0
-6.2182 3.6228 -1.7217
-3.1949 -6.3938 -1.9150
-1.9583 -0.6992 5.6015
Tl Rb Pb Cs
1 2 1 1
Cartesian
-0.9791 -0.3496 2.8007
-1.5975 -3.1969 -0.9575
-3.1091 1.8114 -0.8608
0.0000 0.0000 0.0000
-5.6857 -1.7351 0.9824
```

Output
Space-group type: No. 123
Formation enthalpy at 0 K: 12 kJ/mol of formula units


4.
LaRe2Mo: relaxed, PBE.

Geometry as POSCAR:
```
LaRe2Mo
1.0
-2.5692 1.4594 1.3973
-2.7245 -1.2570 -3.6968
-1.1133 -4.0706 2.2045
Re Mo La
2 1 1
Cartesian
-1.9189 -2.6638 -0.7461
0.0000 0.0000 0.0000
-1.8412 -1.3056 1.8009
-2.6469 0.1012 -1.1497
```

Output
Space-group type: No. 123
Formation enthalpy at 0 K: 288 kJ/mol of formula units


5.
LaTb5Pr2Th: relaxed, PBE.

Geometry as POSCAR:
```
LaTb5Pr2Th
1.0
-0.7944 4.5181 -3.3801
-9.1874 -1.6992 4.6909
2.8745 6.4709 7.9737
Tb Pr La Th
10 4 2 2
Cartesian
-7.0820 5.3059 8.7565
-0.1005 3.8145 0.3193
-2.3123 7.7914 6.1549
-0.2406 0.1896 0.3099
-7.3495 0.5850 2.5091
-3.6466 4.9136 7.4247
-4.4127 2.3589 4.1901
-3.7019 3.8332 1.1908
-8.1520 6.2069 5.4093
-1.0602 5.7728 3.1624
-5.4333 7.9955 7.1612
-0.1243 4.8485 6.5100
-7.1023 4.1726 2.4434
-1.2729 2.1973 3.2362
-6.6681 3.3814 6.0869
0.7145 8.5054 6.3979
-3.8504 0.3107 1.3202
-4.6198 5.9108 4.1835
```

Output
Space-group type: No. 36
Formation enthalpy at 0 K: 140 kJ/mol of formula units


6.
MgZnCd2O4: relaxed, PBE.

Geometry as POSCAR:
```
MgZnCd2O4
1.0
6.4358 -0.0029 -0.0239
-0.0074 6.4358 -0.0239
-3.1892 -3.1915 4.5724
O Zn Cd Mg
8 2 4 2
Cartesian
3.2371 3.0951 2.3362
-0.0125 3.1118 2.1641
0.0021 0.1464 2.1885
1.4732 1.6186 0.0739
4.9436 1.6282 0.0743
-1.7045 1.6133 4.4504
1.7660 1.6229 4.4508
3.2517 0.1297 2.3605
6.4358 -0.0029 -0.0239
1.6196 1.6207 2.2623
-1.5946 -1.5957 2.2862
0.0250 0.0250 4.5486
3.2179 -0.0014 -0.0119
1.6233 -1.5972 2.2743
-0.0037 3.2179 -0.0119
4.8375 1.6193 2.2504
```

Output
Space-group type: No. 74
Energy: -0.166 Ha/atom